{
  "formula": "Pm4CdPt",
  "functional": "PBE",
  "state": "optimized geometry",
  "cell": [[0.000, 7.032, 7.032], [7.032, 0.000, 7.032], [7.032, 7.032, 0.000]],
  "species": ["Pm", "Pm", "Pm", "Pm", "Pm", "Pm", "Pm", "Pm", "Pm", "Pm", "Pm", "Pm", "Pm", "Pm", "Pm", "Pm", "Cd", "Cd", "Cd", "Cd", "Pt", "Pt", "Pt", "Pt"],
  "fractional_positions": [[0.186, 0.186, 0.814], [0.186, 0.814, 0.186], [0.186, 0.814, 0.814], [0.399, 0.399, 0.399], [0.399, 0.399, 0.803], [0.399, 0.803, 0.399], [0.558, 0.558, 0.942], [0.558, 0.942, 0.558], [0.558, 0.942, 0.942], [0.803, 0.399, 0.399], [0.814, 0.186, 0.186], [0.814, 0.186, 0.814], [0.814, 0.814, 0.186], [0.942, 0.558, 0.558], [0.942, 0.558, 0.942], [0.942, 0.942, 0.558], [0.169, 0.169, 0.169], [0.169, 0.169, 0.493], [0.169, 0.493, 0.169], [0.493, 0.169, 0.169], [0.180, 0.607, 0.607], [0.607, 0.180, 0.607], [0.607, 0.607, 0.180], [0.607, 0.607, 0.607]],
  "formation_enthalpy_0k_ev_per_atom": -0.559,
  "de_polymorph_mev_per_atom": 0,
  "dft_energy_ev_per_atom": -4.885
}

***

{
  "formula": "LiCe3Al2O9",
  "functional": "PBE",
  "state": "optimized geometry",
  "cell": [[5.312, 0.000, 0.000], [-2.656, 4.600, 0.000], [0.000, 0.000, 6.491]],
  "species": ["Li", "Ce", "Ce", "Ce", "Al", "Al", "O", "O", "O", "O", "O", "O", "O", "O", "O"],
  "fractional_positions": [[0.000, 0.000, 0.000], [0.000, 0.000, 0.500], [0.333, 0.667, 0.136], [0.667, 0.333, 0.864], [0.333, 0.667, 0.661], [0.667, 0.333, 0.339], [0.000, 0.500, 0.500], [0.172, 0.343, 0.830], [0.172, 0.828, 0.830], [0.343, 0.172, 0.170], [0.500, 0.000, 0.500], [0.500, 0.500, 0.500], [0.657, 0.828, 0.830], [0.828, 0.172, 0.170], [0.828, 0.657, 0.170]],
  "dft_energy_ev_per_atom": -7.752
}

***

The D(E_F) results, record by record, are as follows: 17.8, 13.6 states/eV per cell.